VASP calculation (meta-GGA SCAN) on a crystal of K2CuNiIr relaxed with PBEsol.

Cell lengths 5.736, 5.736, 4.382 Å; angles 90.00, 90.00, 90.00 degrees
Sites, in units of the cell vectors:
K1 0.000 0.500 0.000
K2 0.500 0.000 0.000
Cu1 0.000 0.000 0.500
Ni1 0.500 0.500 0.000
Ir1 0.500 0.500 0.500

- Fermi-level density of states (states/eV per cell) = 6.2
- energy of formation (eV per atom) = 1.151
- SG = No. 123